# 1
Computed, not measured: a relaxed structure of NbGaP2O at the GGA-PBE level of DFT.

abc: 4.8160 4.8160 3.5126
angles: 90.00 90.00 90.00
With the nearest neighbours (Å) after each atom.
Space group P4/mmm (No. 123)
One atom of each set of equivalent atoms:
Nb  0.0000  0.0000  0.0000 x1  8 P 2.98
Ga  0.5000  0.5000  0.5000 x1  2 O 1.76
P  0.0000  0.5000  0.5000 x2  2 Ga 2.41
O  0.5000  0.5000  0.0000 x1  2 Ga 1.76

energy relative to the elements, uncorrected = 0.3011 eV/atom
offset from the most stable computed form = 0.691 eV/atom

***

# 2
Computed, not measured: a relaxed structure of Mg4MoRh at the GGA-PBE level of DFT.

abc: 7.5923 7.5923 7.5923
angles: 90.00 90.00 90.00
With the nearest neighbours (Å) after each atom.
Space group F-43m (No. 216)
One atom of each set of equivalent atoms:
Mg  0.1252  0.1252  0.1252 x16  6 Mg 2.68-2.69
Mo  0.2500  0.2500  0.7500 x4  12 Mg 3.15, 4 Rh 3.29
Rh  0.0000  0.0000  0.5000 x4  12 Mg 3.15, 4 Mo 3.29

DFT formation energy = 45 kJ per mole of atoms

***

# 3
Computed, not measured: a relaxed structure of Er11Tm4Sc9 at the GGA-PBE level of DFT.

abc: 19.6395 20.2875 3.4010
angles: 90.00 90.00 90.00
With the nearest neighbours (Å) after each atom.
Space group Cmmm (No. 65)
One atom of each set of equivalent atoms:
Er  0.0000  0.0000  0.0000 x2  8 Sc 3.38, 4 Er 3.40-3.49
Er  0.0000  0.1720  0.0000 x4  8 Sc 3.35-3.41, 4 Er 3.40-3.50
Er  0.0000  0.3447  0.0000 x4  3 Er 3.40-3.50, 6 Sc 3.48-3.58, 4 Tm 3.51
Er  0.2340  0.0000  0.0000 x4  4 Sc 3.34, 4 Er 3.40-3.42, 4 Tm 3.48
Er  0.2438  0.1684  0.0000 x8  4 Er 3.32-3.42, 2 Tm 3.36, 6 Sc 3.40-3.48
Tm  0.1375  0.4166  0.5000 x8  2 Sc 3.19-3.29, 6 Er 3.36-3.51, 3 Tm 3.38-3.40
Sc  0.0000  0.5000  0.5000 x2  4 Tm 3.19, 2 Sc 3.40
Sc  0.1183  0.0872  0.5000 x8  8 Er 3.34-3.42, 4 Sc 3.40-3.54
Sc  0.1237  0.2548  0.5000 x8  1 Tm 3.29, 8 Er 3.40-3.48, 3 Sc 3.40

DFT formation energy = 8 kJ per mole of atoms